Record 1
# SbAs2RhSe PBE relaxed
data_SbAs2RhSe
_cell_length_a 4.7080
_cell_length_b 4.7080
_cell_length_c 5.2535
_cell_angle_alpha 90.00
_cell_angle_beta 90.00
_cell_angle_gamma 90.00
_symmetry_space_group_name_H-M 'P 4/m m m'
_symmetry_Int_Tables_number 123
_symmetry_space_group_name_Hall '-P 4 2'
loop_
_atom_site_label
_atom_site_type_symbol
_atom_site_fract_x
_atom_site_fract_y
_atom_site_fract_z
Sb1 Sb 0.0000 0.0000 0.0000
As1 As 0.0000 0.5000 0.5000
Rh1 Rh 0.5000 0.5000 0.5000
Se1 Se 0.5000 0.5000 0.0000
# Raw total energy in eV per atom: -4.502
# Energy relative to the elements, uncorrected in eV per atom: 0.350
# Total moment in μB/cell: 0.00
# Relative energy among the computed polymorphs in eV per atom: 0.0000

=====

Record 2
# Sm2Sb3AsRh4 PBE relaxed
data_Sm2Sb3AsRh4
_cell_length_a 4.4453
_cell_length_b 4.4453
_cell_length_c 10.4930
_cell_angle_alpha 90.00
_cell_angle_beta 90.00
_cell_angle_gamma 90.00
_symmetry_space_group_name_H-M 'P -4 m 2'
_symmetry_Int_Tables_number 115
_symmetry_space_group_name_Hall 'P -4 -2'
loop_
_atom_site_label
_atom_site_type_symbol
_atom_site_fract_x
_atom_site_fract_y
_atom_site_fract_z
Sm1 Sm 0.0000 0.5000 0.2460
Sb1 Sb 0.0000 0.0000 0.0000
Sb2 Sb 0.0000 0.5000 0.6371
As1 As 0.5000 0.5000 0.0000
Rh1 Rh 0.0000 0.0000 0.5000
Rh2 Rh 0.0000 0.5000 0.8807
Rh3 Rh 0.5000 0.5000 0.5000
# Raw total energy in eV per atom: -6.387
# Energy relative to the elements, uncorrected in eV per atom: -0.801
# Total moment in μB/cell: 0.00

=====

Record 3
# SmSbAs2Rh5 PBE relaxed
data_SmSbAs2Rh5
_cell_length_a 4.0824
_cell_length_b 4.0824
_cell_length_c 10.6973
_cell_angle_alpha 90.00
_cell_angle_beta 90.00
_cell_angle_gamma 90.00
_symmetry_space_group_name_H-M 'P 4/m m m'
_symmetry_Int_Tables_number 123
_symmetry_space_group_name_Hall '-P 4 2'
loop_
_atom_site_label
_atom_site_type_symbol
_atom_site_fract_x
_atom_site_fract_y
_atom_site_fract_z
Sm1 Sm 0.0000 0.0000 0.0000
Sb1 Sb 0.0000 0.0000 0.5000
As1 As 0.5000 0.5000 0.2221
Rh1 Rh 0.0000 0.5000 0.3426
Rh2 Rh 0.5000 0.5000 0.0000
# Raw total energy in eV per atom: -6.645
# Energy relative to the elements, uncorrected in eV per atom: -0.545
# Total moment in μB/cell: 0.00

=====

Record 4
# Sm2SbAsRh6 PBE relaxed
data_Sm2SbAsRh6
_cell_length_a 5.4980
_cell_length_b 8.6689
_cell_length_c 8.3554
_cell_angle_alpha 90.00
_cell_angle_beta 90.00
_cell_angle_gamma 90.00
_symmetry_space_group_name_H-M 'P m m n'
_symmetry_Int_Tables_number 59
loop_
_symmetry_equiv_pos_as_xyz
'x,y,z'
'-x,-y,-z'
'-x+1/2,-y+1/2,z'
'x+1/2,y+1/2,-z'
'x+1/2,-y,-z'
'-x+1/2,y,z'
'-x,y+1/2,-z'
'x,-y+1/2,z'
loop_
_atom_site_label
_atom_site_type_symbol
_atom_site_fract_x
_atom_site_fract_y
_atom_site_fract_z
Sm1 Sm 0.2500 0.0048 0.2216
Sb1 Sb 0.2500 0.2500 0.7639
As1 As 0.2500 0.7500 0.7471
Rh1 Rh 0.0010 0.7500 0.9806
Rh2 Rh 0.0061 0.2500 0.4897
Rh3 Rh 0.2500 0.5007 0.5878
# Raw total energy in eV per atom: -6.778
# Energy relative to the elements, uncorrected in eV per atom: -0.547
# Total moment in μB/cell: 0.00

=====

Record 5
# Sm3SbAs2Rh8 PBE relaxed
data_Sm3SbAs2Rh8
_cell_length_a 5.4880
_cell_length_b 5.4880
_cell_length_c 9.8151
_cell_angle_alpha 90.00
_cell_angle_beta 90.00
_cell_angle_gamma 120.00
_symmetry_space_group_name_H-M 'P -3 m 1'
_symmetry_Int_Tables_number 164
_symmetry_space_group_name_Hall '-P 3 2"'
loop_
_atom_site_label
_atom_site_type_symbol
_atom_site_fract_x
_atom_site_fract_y
_atom_site_fract_z
Sm1 Sm 0.0000 0.0000 0.0000
Sm2 Sm 0.3333 0.6667 0.5684
Sb1 Sb 0.0000 0.0000 0.5000
As1 As 0.3333 0.6667 0.0880
Rh1 Rh 0.1651 0.3303 0.2732
Rh2 Rh 0.3333 0.6667 0.8450
# Raw total energy in eV per atom: -6.785
# Energy relative to the elements, uncorrected in eV per atom: -0.615
# Total moment in μB/cell: 0.00

=====

Record 6
# Sm3Sb2AsRh9 PBE relaxed
data_Sm3Sb2AsRh9
_cell_length_a 6.7699
_cell_length_b 6.7699
_cell_length_c 8.3404
_cell_angle_alpha 90.00
_cell_angle_beta 90.00
_cell_angle_gamma 120.00
_symmetry_space_group_name_H-M 'P -3 m 1'
_symmetry_Int_Tables_number 164
_symmetry_space_group_name_Hall '-P 3 2"'
loop_
_atom_site_label
_atom_site_type_symbol
_atom_site_fract_x
_atom_site_fract_y
_atom_site_fract_z
Sm1 Sm 0.0000 0.0000 0.0000
Sm2 Sm 0.3333 0.6667 0.7356
Sb1 Sb 0.3333 0.6667 0.2090
As1 As 0.0000 0.0000 0.5000
Rh1 Rh 0.0000 0.5000 0.0000
Rh2 Rh 0.1321 0.2643 0.2787
# Raw total energy in eV per atom: -6.511
# Energy relative to the elements, uncorrected in eV per atom: -0.296
# Total moment in μB/cell: 0.00

=====

Record 7
# SnSbAsRh2 PBE relaxed
data_SnSbAsRh2
_cell_length_a 4.9104
_cell_length_b 4.9104
_cell_length_c 5.0782
_cell_angle_alpha 90.00
_cell_angle_beta 90.00
_cell_angle_gamma 90.00
_symmetry_space_group_name_H-M 'P 4/m m m'
_symmetry_Int_Tables_number 123
_symmetry_space_group_name_Hall '-P 4 2'
loop_
_atom_site_label
_atom_site_type_symbol
_atom_site_fract_x
_atom_site_fract_y
_atom_site_fract_z
Sn1 Sn 0.0000 0.0000 0.0000
Sb1 Sb 0.5000 0.5000 0.5000
As1 As 0.0000 0.0000 0.5000
Rh1 Rh 0.0000 0.5000 0.0000
# Raw total energy in eV per atom: -4.603
# Energy relative to the elements, uncorrected in eV per atom: 0.892
# Total moment in μB/cell: 0.00

=====

Record 8
# Sr2Sb3AsRh4 PBE relaxed
data_Sr2Sb3AsRh4
_cell_length_a 4.5168
_cell_length_b 4.5168
_cell_length_c 10.6639
_cell_angle_alpha 90.00
_cell_angle_beta 90.00
_cell_angle_gamma 90.00
_symmetry_space_group_name_H-M 'P -4 m 2'
_symmetry_Int_Tables_number 115
_symmetry_space_group_name_Hall 'P -4 -2'
loop_
_atom_site_label
_atom_site_type_symbol
_atom_site_fract_x
_atom_site_fract_y
_atom_site_fract_z
Sr1 Sr 0.0000 0.5000 0.2415
Sb1 Sb 0.0000 0.0000 0.0000
Sb2 Sb 0.0000 0.5000 0.6327
As1 As 0.5000 0.5000 0.0000
Rh1 Rh 0.0000 0.0000 0.5000
Rh2 Rh 0.0000 0.5000 0.8807
Rh3 Rh 0.5000 0.5000 0.5000
# Raw total energy in eV per atom: -5.699
# Energy relative to the elements, uncorrected in eV per atom: -0.720
# Total moment in μB/cell: 0.00

=====

Record 9
# Sr2SbAs3Rh4 PBE relaxed
data_Sr2SbAs3Rh4
_cell_length_a 4.3727
_cell_length_b 4.3727
_cell_length_c 10.4355
_cell_angle_alpha 90.00
_cell_angle_beta 90.00
_cell_angle_gamma 90.00
_symmetry_space_group_name_H-M 'P -4 m 2'
_symmetry_Int_Tables_number 115
_symmetry_space_group_name_Hall 'P -4 -2'
loop_
_atom_site_label
_atom_site_type_symbol
_atom_site_fract_x
_atom_site_fract_y
_atom_site_fract_z
Sr1 Sr 0.0000 0.5000 0.2467
Sb1 Sb 0.0000 0.0000 0.5000
As1 As 0.0000 0.5000 0.8731
As2 As 0.5000 0.5000 0.5000
Rh1 Rh 0.0000 0.0000 0.0000
Rh2 Rh 0.0000 0.5000 0.6347
Rh3 Rh 0.5000 0.5000 0.0000
# Raw total energy in eV per atom: -5.816
# Energy relative to the elements, uncorrected in eV per atom: -0.732
# Total moment in μB/cell: 0.00

=====

Record 10
# Tb3SbAs2Rh8 PBE relaxed
data_Tb3SbAs2Rh8
_cell_length_a 5.4626
_cell_length_b 5.4626
_cell_length_c 9.7285
_cell_angle_alpha 90.00
_cell_angle_beta 90.00
_cell_angle_gamma 120.00
_symmetry_space_group_name_H-M 'P -3 m 1'
_symmetry_Int_Tables_number 164
_symmetry_space_group_name_Hall '-P 3 2"'
loop_
_atom_site_label
_atom_site_type_symbol
_atom_site_fract_x
_atom_site_fract_y
_atom_site_fract_z
Tb1 Tb 0.0000 0.0000 0.0000
Tb2 Tb 0.3333 0.6667 0.5664
Sb1 Sb 0.0000 0.0000 0.5000
As1 As 0.3333 0.6667 0.0864
Rh1 Rh 0.1654 0.3308 0.2739
Rh2 Rh 0.3333 0.6667 0.8422
# Raw total energy in eV per atom: -6.784
# Energy relative to the elements, uncorrected in eV per atom: -0.632
# Total moment in μB/cell: 0.00

=====

Record 11
# Sb2TeAsRh PBE relaxed
data_Sb2TeAsRh
_cell_length_a 5.0656
_cell_length_b 5.0656
_cell_length_c 5.3357
_cell_angle_alpha 90.00
_cell_angle_beta 90.00
_cell_angle_gamma 90.00
_symmetry_space_group_name_H-M 'P 4/m m m'
_symmetry_Int_Tables_number 123
_symmetry_space_group_name_Hall '-P 4 2'
loop_
_atom_site_label
_atom_site_type_symbol
_atom_site_fract_x
_atom_site_fract_y
_atom_site_fract_z
Sb1 Sb 0.0000 0.5000 0.0000
Te1 Te 0.0000 0.0000 0.5000
As1 As 0.5000 0.5000 0.5000
Rh1 Rh 0.0000 0.0000 0.0000
# Raw total energy in eV per atom: -4.218
# Energy relative to the elements, uncorrected in eV per atom: 0.460
# Total moment in μB/cell: 0.00
# Relative energy among the computed polymorphs in eV per atom: 0.0000